# 1
Computed, not measured: a geometry-optimized Re2Os structure at the PBE level of DFT.

Calculated values
DOS at the Fermi energy ... 1.30 states/eV per cell
Space-group type ... P6/mmm (191)
Calculated formation energy ... 47 kJ/mol of formula units
Energy relative to the lowest polymorph listed for this composition ... 0.237 eV/atom

abc: 4.3731 4.3731 2.7199
angles: 90.00 90.00 120.00
Closest atoms and distances in Å follow each position.
Sites, in units of the cell vectors:
Re (0.3333, 0.6667, 0.0000)  5 Re 2.52-2.72
Re (0.6667, 0.3333, 0.0000)  5 Re 2.52-2.72
Os (0.0000, 0.0000, 0.5000)  2 Os 2.72, 12 Re 2.87

=====

# 2
Computed, not measured: a geometry-optimized Y3TaRe structure at the PBE level of DFT.

Calculated values
DOS at the Fermi energy ... 8.50 states/eV per cell
Space-group type ... Pm-3m (221)
Calculated formation energy ... 743 kJ/mol of formula units

abc: 5.3273 5.3273 5.3273
angles: 90.00 90.00 90.00
Closest atoms and distances in Å follow each position.
Sites, in units of the cell vectors:
Y (0.0000, 0.0000, 0.5000)  2 Ta 2.66
Y (0.0000, 0.5000, 0.0000)  2 Ta 2.66
Y (0.5000, 0.0000, 0.0000)  2 Ta 2.66
Ta (0.0000, 0.0000, 0.0000)  6 Y 2.66
Re (0.5000, 0.5000, 0.5000)  12 Y 3.77

=====

# 3
Computed, not measured: a geometry-optimized PaRe2Pd structure at the PBE level of DFT.

Calculated values
DOS at the Fermi energy ... 4.32 states/eV per cell
Space-group type ... P4/mmm (123)
Calculated formation energy ... -9 kJ/mol of formula units

abc: 4.0939 4.0939 4.1849
angles: 90.00 90.00 90.00
Closest atoms and distances in Å follow each position.
Sites, in units of the cell vectors:
Pa (0.0000, 0.0000, 0.0000)  4 Pd 2.89, 8 Re 2.93
Re (0.0000, 0.5000, 0.5000)  4 Re 2.89, 4 Pa 2.93, 4 Pd 2.93
Re (0.5000, 0.0000, 0.5000)  4 Re 2.89, 4 Pa 2.93, 4 Pd 2.93
Pd (0.5000, 0.5000, 0.0000)  4 Pa 2.89, 8 Re 2.93

=====

Respective electronic total energy values: -11.879, -7.199, -9.919 eV/atom.
Respective total magnetic moment values: 0.0, 2.9, 0.0 μB per formula unit.